1.
# PBE PaTlSb, optimized geometry
# formation energy without anion corrections: 17 meV per atom
# polymorph energy (0 for the lowest one): 0 meV/atom
# magnetic moment: 0.81 μB per formula unit
# D(E_F): 5.02 states/eV per cell
data_PaTlSb
_cell_length_a 3.864
_cell_length_b 3.864
_cell_length_c 6.062
_cell_angle_alpha 108.58
_cell_angle_beta 108.58
_cell_angle_gamma 90.00
_symmetry_space_group_name_H-M 'P 1'
_symmetry_Int_Tables_number 1
loop_
_symmetry_equiv_pos_as_xyz
'x,y,z'
loop_
_atom_site_label
_atom_site_fract_x
_atom_site_fract_y
_atom_site_fract_z
_atom_site_occupancy
Sb1 0.672 0.672 0.345 1
Pa1 0.320 0.320 0.641 1
Tl1 0.007 0.007 0.014 1

2.
# PBE PaTlSb2, optimized geometry
# formation energy without anion corrections: -297 meV per atom
# polymorph energy (0 for the lowest one): 0 meV/atom
# magnetic moment: 0.00 μB per formula unit
# D(E_F): 4.28 states/eV per cell
data_PaTlSb2
_cell_length_a 4.052
_cell_length_b 4.052
_cell_length_c 6.702
_cell_angle_alpha 90.00
_cell_angle_beta 90.00
_cell_angle_gamma 90.00
_symmetry_space_group_name_H-M 'P 1'
_symmetry_Int_Tables_number 1
loop_
_symmetry_equiv_pos_as_xyz
'x,y,z'
loop_
_atom_site_label
_atom_site_fract_x
_atom_site_fract_y
_atom_site_fract_z
_atom_site_occupancy
Pa1 0.500 0.500 0.000 1
Sb1 0.000 0.000 0.775 1
Sb2 0.000 0.000 0.225 1
Tl1 0.500 0.500 0.500 1

3.
# PBE Pa2TlSb, optimized geometry
# formation energy without anion corrections: -61 meV per atom
# polymorph energy (0 for the lowest one): 0 meV/atom
# magnetic moment: 1.07 μB per formula unit
# D(E_F): 7.85 states/eV per cell
data_Pa2TlSb
_cell_length_a 3.569
_cell_length_b 3.569
_cell_length_c 8.260
_cell_angle_alpha 90.00
_cell_angle_beta 90.00
_cell_angle_gamma 90.00
_symmetry_space_group_name_H-M 'P 1'
_symmetry_Int_Tables_number 1
loop_
_symmetry_equiv_pos_as_xyz
'x,y,z'
loop_
_atom_site_label
_atom_site_fract_x
_atom_site_fract_y
_atom_site_fract_z
_atom_site_occupancy
Tl1 0.500 0.500 0.500 1
Pa1 0.000 0.000 0.768 1
Pa2 0.000 0.000 0.232 1
Sb1 0.500 0.500 0.000 1

4.
# PBE PaTlSb, optimized geometry
# formation energy without anion corrections: 98 meV per atom
# polymorph energy (0 for the lowest one): 81 meV/atom
# magnetic moment: 1.53 μB per formula unit
# D(E_F): 5.07 states/eV per cell
data_PaTlSb
_cell_length_a 3.178
_cell_length_b 5.388
_cell_length_c 5.388
_cell_angle_alpha 120.00
_cell_angle_beta 90.00
_cell_angle_gamma 90.00
_symmetry_space_group_name_H-M 'P 1'
_symmetry_Int_Tables_number 1
loop_
_symmetry_equiv_pos_as_xyz
'x,y,z'
loop_
_atom_site_label
_atom_site_fract_x
_atom_site_fract_y
_atom_site_fract_z
_atom_site_occupancy
Pa1 0.334 0.667 0.333 1
Sb1 0.833 0.000 0.000 1
Tl1 0.833 0.333 0.667 1

5.
# PBE Pa2TlSb, optimized geometry
# formation energy without anion corrections: -17 meV per atom
# polymorph energy (0 for the lowest one): 43 meV/atom
# magnetic moment: 1.97 μB per formula unit
# D(E_F): 8.89 states/eV per cell
data_Pa2TlSb
_cell_length_a 4.423
_cell_length_b 4.861
_cell_length_c 4.861
_cell_angle_alpha 90.00
_cell_angle_beta 90.00
_cell_angle_gamma 90.00
_symmetry_space_group_name_H-M 'P 1'
_symmetry_Int_Tables_number 1
loop_
_symmetry_equiv_pos_as_xyz
'x,y,z'
loop_
_atom_site_label
_atom_site_fract_x
_atom_site_fract_y
_atom_site_fract_z
_atom_site_occupancy
Pa1 0.000 0.500 0.000 1
Pa2 0.000 0.000 0.500 1
Sb1 0.500 0.500 0.500 1
Tl1 0.500 0.000 0.000 1

6.
# PBE TmPa2Sb3, optimized geometry
# formation energy without anion corrections: -627 meV per atom
# magnetic moment: 1.83 μB per formula unit
# D(E_F): 20.88 states/eV per cell
data_TmPa2Sb3
_cell_length_a 7.538
_cell_length_b 7.538
_cell_length_c 7.577
_cell_angle_alpha 99.55
_cell_angle_beta 99.55
_cell_angle_gamma 120.04
_symmetry_space_group_name_H-M 'P 1'
_symmetry_Int_Tables_number 1
loop_
_symmetry_equiv_pos_as_xyz
'x,y,z'
loop_
_atom_site_label
_atom_site_fract_x
_atom_site_fract_y
_atom_site_fract_z
_atom_site_occupancy
Pa1 0.168 0.832 0.500 1
Pa2 0.333 0.667 0.000 1
Pa3 0.498 0.502 0.500 1
Pa4 0.833 0.167 0.500 1
Tm1 0.666 0.334 0.000 1
Tm2 0.001 0.999 0.000 1
Sb1 0.914 0.584 0.753 1
Sb2 0.077 0.411 0.244 1
Sb3 0.589 0.923 0.756 1
Sb4 0.752 0.749 0.247 1
Sb5 0.416 0.086 0.247 1
Sb6 0.251 0.248 0.753 1

7.
# PBE Tm5PaSb6, optimized geometry
# formation energy without anion corrections: -964 meV per atom
# magnetic moment: 0.32 μB per formula unit
# D(E_F): 6.02 states/eV per cell
data_Tm5PaSb6
_cell_length_a 7.511
_cell_length_b 7.511
_cell_length_c 7.510
_cell_angle_alpha 99.59
_cell_angle_beta 99.59
_cell_angle_gamma 120.01
_symmetry_space_group_name_H-M 'P 1'
_symmetry_Int_Tables_number 1
loop_
_symmetry_equiv_pos_as_xyz
'x,y,z'
loop_
_atom_site_label
_atom_site_fract_x
_atom_site_fract_y
_atom_site_fract_z
_atom_site_occupancy
Tm1 0.500 0.500 0.500 1
Tm2 0.166 0.834 0.500 1
Tm3 0.834 0.166 0.500 1
Tm4 0.667 0.333 0.000 1
Tm5 0.333 0.667 0.000 1
Sb1 0.750 0.750 0.249 1
Sb2 0.583 0.916 0.749 1
Sb3 0.250 0.250 0.751 1
Sb4 0.084 0.417 0.251 1
Sb5 0.417 0.084 0.251 1
Sb6 0.916 0.583 0.749 1
Pa1 0.000 0.000 0.000 1

8.
# PBE TmPaSb2, optimized geometry
# formation energy without anion corrections: -598 meV per atom
# polymorph energy (0 for the lowest one): 135 meV/atom
# magnetic moment: 1.13 μB per formula unit
# D(E_F): 5.10 states/eV per cell
data_TmPaSb2
_cell_length_a 3.796
_cell_length_b 5.241
_cell_length_c 5.241
_cell_angle_alpha 90.00
_cell_angle_beta 90.00
_cell_angle_gamma 90.00
_symmetry_space_group_name_H-M 'P 1'
_symmetry_Int_Tables_number 1
loop_
_symmetry_equiv_pos_as_xyz
'x,y,z'
loop_
_atom_site_label
_atom_site_fract_x
_atom_site_fract_y
_atom_site_fract_z
_atom_site_occupancy
Tm1 0.500 0.500 0.500 1
Sb1 0.000 0.000 0.500 1
Sb2 0.000 0.500 0.000 1
Pa1 0.500 0.000 0.000 1

9.
# PBE TmPaSb2, optimized geometry
# formation energy without anion corrections: -732 meV per atom
# polymorph energy (0 for the lowest one): 1 meV/atom
# magnetic moment: 1.10 μB per formula unit
# D(E_F): 5.97 states/eV per cell
data_TmPaSb2
_cell_length_a 4.344
_cell_length_b 4.344
_cell_length_c 7.579
_cell_angle_alpha 73.35
_cell_angle_beta 73.35
_cell_angle_gamma 60.00
_symmetry_space_group_name_H-M 'P 1'
_symmetry_Int_Tables_number 1
loop_
_symmetry_equiv_pos_as_xyz
'x,y,z'
loop_
_atom_site_label
_atom_site_fract_x
_atom_site_fract_y
_atom_site_fract_z
_atom_site_occupancy
Tm1 0.500 0.500 0.500 1
Sb1 0.752 0.752 0.744 1
Sb2 0.248 0.248 0.256 1
Pa1 0.000 0.000 0.000 1

10.
# PBE TmPaSb, optimized geometry
# formation energy without anion corrections: -67 meV per atom
# polymorph energy (0 for the lowest one): 184 meV/atom
# magnetic moment: 1.46 μB per formula unit
# D(E_F): 5.89 states/eV per cell
data_TmPaSb
_cell_length_a 3.430
_cell_length_b 5.234
_cell_length_c 5.234
_cell_angle_alpha 120.00
_cell_angle_beta 90.00
_cell_angle_gamma 90.00
_symmetry_space_group_name_H-M 'P 1'
_symmetry_Int_Tables_number 1
loop_
_symmetry_equiv_pos_as_xyz
'x,y,z'
loop_
_atom_site_label
_atom_site_fract_x
_atom_site_fract_y
_atom_site_fract_z
_atom_site_occupancy
Sb1 0.388 0.333 0.667 1
Tm1 0.563 0.667 0.333 1
Pa1 0.048 0.000 0.000 1

11.
# PBE TmPaSb, optimized geometry
# formation energy without anion corrections: -251 meV per atom
# polymorph energy (0 for the lowest one): 0 meV/atom
# magnetic moment: 0.80 μB per formula unit
# D(E_F): 5.27 states/eV per cell
data_TmPaSb
_cell_length_a 3.869
_cell_length_b 3.869
_cell_length_c 6.079
_cell_angle_alpha 108.56
_cell_angle_beta 108.56
_cell_angle_gamma 90.00
_symmetry_space_group_name_H-M 'P 1'
_symmetry_Int_Tables_number 1
loop_
_symmetry_equiv_pos_as_xyz
'x,y,z'
loop_
_atom_site_label
_atom_site_fract_x
_atom_site_fract_y
_atom_site_fract_z
_atom_site_occupancy
Pa1 0.938 0.938 0.876 1
Tm1 0.634 0.634 0.268 1
Sb1 0.278 0.278 0.556 1

12.
# PBE Tm2Pa2Sb5, optimized geometry
# formation energy without anion corrections: -645 meV per atom
# magnetic moment: 1.00 μB per formula unit
# D(E_F): 14.70 states/eV per cell
data_Tm2Pa2Sb5
_cell_length_a 8.113
_cell_length_b 8.701
_cell_length_c 8.701
_cell_angle_alpha 124.42
_cell_angle_beta 90.00
_cell_angle_gamma 90.00
_symmetry_space_group_name_H-M 'P 1'
_symmetry_Int_Tables_number 1
loop_
_symmetry_equiv_pos_as_xyz
'x,y,z'
loop_
_atom_site_label
_atom_site_fract_x
_atom_site_fract_y
_atom_site_fract_z
_atom_site_occupancy
Sb1 0.653 0.015 0.296 1
Sb2 0.347 0.985 0.704 1
Sb3 0.847 0.796 0.515 1
Sb4 0.153 0.485 0.204 1
Sb5 0.500 0.500 0.500 1
Sb6 0.153 0.204 0.485 1
Sb7 0.847 0.515 0.796 1
Sb8 0.653 0.296 0.015 1
Sb9 0.000 0.000 0.000 1
Sb10 0.347 0.704 0.985 1
Tm1 0.154 0.651 0.651 1
Tm2 0.654 0.849 0.849 1
Tm3 0.346 0.151 0.151 1
Tm4 0.846 0.349 0.349 1
Pa1 0.500 0.308 0.692 1
Pa2 0.000 0.192 0.808 1
Pa3 0.000 0.808 0.192 1
Pa4 0.500 0.692 0.308 1